1.
The following is a DFT calculation (PBE) of a relaxed structure of TbTm3Sc7.

Output
The symmetry is C2/m (12).

```
TbTm3Sc7
1.0
5.9898 -5.2083 0.0000
5.9898 5.2083 0.0000
-2.4359 0.0000 4.8301
Tb Tm Sc
1 3 7
Cartesian
0.0000 0.0000 0.0000
4.7719 2.1790 2.4151
5.9898 0.0000 0.0000
4.7719 -2.1790 2.4151
-1.2180 0.0000 2.4151
1.5155 2.0081 3.7995
2.7912 0.0000 1.4164
1.5155 -2.0081 3.7995
8.0282 2.0081 1.0306
6.7525 0.0000 3.4137
8.0282 -2.0081 1.0306
```

=====

2.
The following is a DFT calculation (PBE) of a relaxed structure of Tb6Tm12Sc.

Output
The symmetry is R-3m (166). The value obtained for the energy above the most stable polymorph in this dataset is 0.901 eV/f.u.

```
Tb6Tm12Sc
1.0
6.4662 3.7333 4.1542
-6.4662 3.7333 4.1542
0.0000 -7.4665 4.1542
Tb Tm Sc
6 12 1
Cartesian
-2.8097 -1.6222 5.6140
0.0000 -3.2443 6.8487
-2.8097 1.6222 6.8487
2.8097 -1.6222 5.6140
0.0000 3.2443 5.6140
2.8097 1.6222 6.8487
-1.6619 -4.5880 4.1542
-4.8043 0.8547 4.1542
0.0000 -2.0224 2.9448
-1.7515 1.0112 2.9448
1.6619 -4.5880 4.1542
-3.1423 3.7333 4.1542
1.7515 1.0112 2.9448
-1.7515 -1.0112 9.5178
4.8043 0.8547 4.1542
3.1423 3.7333 4.1542
1.7515 -1.0112 9.5178
0.0000 2.0224 9.5178
0.0000 0.0000 6.2313
```

=====

no.,E_form (eV/atom)
1,0.296
2,0.225